1.
First-principles (GGA-PBE) data for a geometry-optimized TaCrCo2H structure, as listed in Alexandria via LeMat-Bulk.

Calculated values
SG: P4/mmm, No. 123
Energy (eV per atom): -7.893
Energy above the most stable polymorph in this dataset (meV per atom): 0

Cell: 3.6708 3.6708 3.8214 Å, 90.00 90.00 90.00°
Positions (direct):
Ta 0.0000 0.0000 0.0000
Cr 0.5000 0.5000 0.0000
Co 0.0000 0.5000 0.5000
Co 0.5000 0.0000 0.5000
H 0.5000 0.5000 0.5000



2.
First-principles (GGA-PBE) data for a geometry-optimized Pm4HoZn5 structure, as listed in Alexandria via LeMat-Bulk.

Calculated values
SG: P4/mmm, No. 123
Energy (eV per atom): -3.314
Calculated formation energy (eV/atom): -0.32

Cell: 3.6330 3.6330 18.2364 Å, 90.00 90.00 90.00°
Positions (direct):
Pm 0.0000 0.0000 0.1014
Pm 0.0000 0.0000 0.3037
Pm 0.0000 0.0000 0.6963
Pm 0.0000 0.0000 0.8986
Ho 0.0000 0.0000 0.5000
Zn 0.5000 0.5000 0.0000
Zn 0.5000 0.5000 0.2016
Zn 0.5000 0.5000 0.4074
Zn 0.5000 0.5000 0.5926
Zn 0.5000 0.5000 0.7984



3.
First-principles (GGA-PBE) data for a geometry-optimized FePt4Au structure, as listed in Alexandria via LeMat-Bulk.

Calculated values
SG: P4/mmm, No. 123
Energy (eV per atom): -6.087
Calculated formation energy (eV/atom): -0.10
Energy above the most stable polymorph in this dataset (meV per atom): 0

Cell: 2.7727 2.7727 12.1148 Å, 90.00 90.00 90.00°
Positions (direct):
Fe 0.0000 0.0000 0.0000
Pt 0.0000 0.0000 0.3212
Pt 0.0000 0.0000 0.6788
Pt 0.5000 0.5000 0.1496
Pt 0.5000 0.5000 0.8504
Au 0.5000 0.5000 0.5000